No. 1
18
Lattice="-5.594 1.299 -1.847 -4.318 -4.010 1.292 -4.002 1.546 4.241" Properties=species:S:1:pos:R:3 comment="GGA-PBE K2MgNi3H12, relaxed" n_ef_per_ev_cell=3.145 space_group="R-3m (166)" energy_ev_per_atom=-3.55 pbc="T T T"
H -6.851 -2.848 1.907
H -6.654 0.615 3.746
H -7.646 0.461 -0.050
H -7.063 1.683 1.779
H -4.286 0.553 -0.582
H -10.449 -1.846 1.127
H -3.464 0.680 2.559
H -3.627 -2.186 1.038
H -9.627 -1.718 4.268
H -6.267 -1.627 3.736
H -7.260 -1.781 -0.060
H -10.286 1.021 2.649
K -5.355 -0.449 1.419
K -8.558 -0.717 2.267
Mg 0.000 0.000 0.000
Ni -2.001 0.773 2.121
Ni -2.797 0.649 -0.923
Ni -2.159 -2.005 0.646

No. 2
4
Lattice="-5.020 0.834 -0.037 -3.024 -2.804 -2.981 -3.161 -3.409 2.069" Properties=species:S:1:pos:R:3 comment="GGA-PBE NaSmMgZn, relaxed" n_ef_per_ev_cell=1.893 space_group="F-43m (216)" energy_ev_per_atom=-2.26 pbc="T T T"
Mg -5.602 -2.689 -0.474
Sm 0.000 0.000 0.000
Zn -2.801 -1.345 -0.237
Na -8.403 -4.034 -0.712

No. 3
5
Lattice="5.138 0.000 0.000 0.000 5.138 0.000 0.000 0.000 5.138" Properties=species:S:1:pos:R:3 comment="GGA-PBE SrMg3Pd, relaxed" n_ef_per_ev_cell=2.927 de_polymorph_ev_per_atom=0.031 space_group="Pm-3m (221)" pbc="T T T"
Mg 0.000 0.000 2.569
Mg 2.569 0.000 0.000
Mg 0.000 2.569 0.000
Pd 0.000 0.000 0.000
Sr 2.569 2.569 2.569

No. 4
9
Lattice="-1.354 3.616 3.409 -2.664 -0.558 -4.358 -5.710 -6.177 4.284" Properties=species:S:1:pos:R:3 comment="GGA-PBE Tb2CdHg6, relaxed" n_ef_per_ev_cell=2.284 de_polymorph_ev_per_atom=0.000 space_group="C2/m (12)" pbc="T T T"
Hg -0.947 -1.017 0.703
Hg -8.782 -2.102 2.632
Hg -7.129 -3.531 4.804
Hg -5.229 -1.492 3.397
Hg -4.500 -1.627 -0.062
Hg -2.600 0.412 -1.469
Tb -6.385 -3.664 1.350
Tb -3.344 0.545 1.985
Cd -2.855 -3.089 2.142